CsBaNp2O7 | GGA-PBE | relaxed

* DFT total energy: -94.14 eV per cell
* symmetry: P4/mmm
* formation energy (no corrections): -2.80 eV/atom

Cell and atoms, written as POSCAR:
```
CsBaNp2O7
1.0
4.320 0.000 0.000
0.000 4.320 0.000
0.000 0.000 11.220
O Np Cs Ba
7 2 1 1
direct
0.500 0.500 0.363
0.000 0.500 0.174
0.000 0.500 0.826
0.500 0.500 0.637
0.500 0.500 0.000
0.500 0.000 0.174
0.500 0.000 0.826
0.500 0.500 0.195
0.500 0.500 0.805
0.000 0.000 0.500
0.000 0.000 0.000
```